# PmPrH (PBE-GGA, relaxed)
data_PmPrH
_cell_length_a 3.499
_cell_length_b 3.499
_cell_length_c 12.504
_cell_angle_alpha 90.00
_cell_angle_beta 90.00
_cell_angle_gamma 90.00
_symmetry_space_group_name_H-M 'I 4 m m'
_symmetry_Int_Tables_number 107
_symmetry_space_group_name_Hall 'I 4 -2'
loop_
_atom_site_label
_atom_site_fract_x
_atom_site_fract_y
_atom_site_fract_z
Pm1 0.000 0.000 0.000
Pr1 0.000 0.000 0.712
H1 0.000 0.000 0.184
# **Electronic total energy**: -4.4195 eV/atom
# **D(E_F)**: 0.952 states/eV per atom
# **Size of the total moment**: 0.000 μB/f.u.